Computed, not measured: an optimized crystal structure of Rb2AuCl at the PBE-GGA level of DFT.

Offset from the most stable computed form, meV per atom: 94
Uncorrected formation energy, eV/atom: -1.0164
E_tot, eV per atom: -2.781

Lattice parameters (Å, degrees): 8.6674 8.6674 10.2166 90.00 90.00 90.00
Space group I-42d (No. 122)
Asymmetric unit:
Rb: 0.2267 0.7500 0.1250
Au: 0.0000 0.0000 0.5000
Cl: 0.0000 0.0000 0.0000